Here is an optimized crystal structure of Ca2Cu2Sn from Alexandria via LeMat-Bulk. Energies are from GGA-PBE.

calculated density	4.405	g/cm3
calculated formation energy	-0.197	eV/atom
calculated volume	122.87	Å³/cell

Lattice parameters (Å, degrees): 5.7342 5.7342 5.5140 58.67 58.67 90.00
With the nearest neighbours (Å) after each atom.
Sites, in units of the cell vectors:
Sn (0.0000, 0.0000, 0.0000)  2 Cu 2.60
Ca (0.7500, 0.2500, 0.5000)  4 Cu 2.96
Cu (0.6527, 0.6527, 0.6945)  1 Cu 2.28
Ca (0.2500, 0.7500, 0.5000)  4 Cu 2.96
Cu (0.3473, 0.3473, 0.3055)  1 Cu 2.28